No. 1
DFT (PBE) results for a geometry-optimized Ac2ThSe5 structure.

It has space group Pnma (No. 62), with a = 12.906 Å, b = 8.902 Å, c = 8.139 Å, α = 90.00°, β = 90.00° and γ = 90.00°. The asymmetric unit holds Ac at (0.176, 0.001, 0.031), Th at (0.008, 0.250, 0.570), Se at (0.003, 0.250, 0.951), Se at (0.092, 0.540, 0.666), Se at (0.188, 0.250, 0.337) and Se at (0.213, 0.750, 0.312).

The calculation puts the offset from the most stable computed form at 0.00 eV/f.u.



No. 2
DFT (PBE) results for a geometry-optimized Ac3Th2Se8 structure.

It has space group Cmmm (No. 65), with a = 10.441 Å, b = 14.619 Å, c = 5.132 Å, α = 90.00°, β = 90.00° and γ = 90.00°. The asymmetric unit holds Ac at (0.000, 0.000, 0.000), Ac at (0.219, 0.500, 0.500), Th at (0.000, 0.258, 0.000), Se at (0.000, 0.125, 0.500), Se at (0.000, 0.362, 0.500) and Se at (0.246, 0.130, 0.000).

As for the total energy: -155.4 eV for the cell shown.



No. 3
DFT (PBE) results for a geometry-optimized Ac3ThSe4 structure.

It has space group Cmmm (No. 65), with a = 8.806 Å, b = 12.441 Å, c = 4.386 Å, α = 90.00°, β = 90.00° and γ = 90.00°. The asymmetric unit holds Ac at (0.000, 0.000, 0.000), Ac at (0.250, 0.250, 0.500), Th at (0.000, 0.500, 0.000), Se at (0.000, 0.256, 0.000) and Se at (0.238, 0.500, 0.500).

As for the total energy: -95.5 eV for the cell shown.



No. 4
DFT (PBE) results for a geometry-optimized AcY2ThSe4 structure.

It has space group P2/m (No. 10), with a = 7.186 Å, b = 4.124 Å, c = 7.505 Å, α = 90.00°, β = 108.51° and γ = 90.00°. The asymmetric unit holds Ac at (0.000, 0.000, 0.000), Y at (0.000, 0.500, 0.500), Y at (0.500, 0.000, 0.500), Th at (0.500, 0.500, 0.000), Se at (0.250, 0.000, 0.731) and Se at (0.264, 0.500, 0.274).

As for the total energy: -52.1 eV for the cell shown.



No. 5
DFT (PBE) results for a geometry-optimized Ac2YThSe4 structure.

It has space group P2/m (No. 10), with a = 7.435 Å, b = 4.248 Å, c = 7.541 Å, α = 90.00°, β = 108.79° and γ = 90.00°. The asymmetric unit holds Ac at (0.000, 0.000, 0.000), Ac at (0.500, 0.500, 0.000), Y at (0.000, 0.500, 0.500), Th at (0.500, 0.000, 0.500), Se at (0.236, 0.000, 0.725) and Se at (0.250, 0.500, 0.270).

As for the total energy: -49.9 eV for the cell shown.



No. 6
DFT (PBE) results for a geometry-optimized Ac4Y3ThSe8 structure.

It has space group R-3m (No. 166, hexagonal axes), with a = 8.4577 Å, b = 8.4577 Å, c = 21.6462 Å, α = 90.00°, β = 90.00° and γ = 120.00°. The asymmetric unit holds Ac at (0.0000, 0.0000, 0.0000), Ac at (0.0000, 0.5000, 0.0000), Y at (0.0000, 0.5000, 0.5000), Th at (0.0000, 0.0000, 0.5000), Se at (0.0000, 0.0000, 0.2404) and Se at (0.0057, 0.5028, 0.7584).

As for the total energy: -298.4 eV for the cell shown.



No. 7
DFT (PBE) results for a geometry-optimized Ac2TiSe5 structure.

It has space group I4mm (No. 107), with a = 7.298 Å, b = 7.298 Å, c = 8.569 Å, α = 90.00°, β = 90.00° and γ = 90.00°. The asymmetric unit holds Ac at (0.000, 0.500, 0.000), Ti at (0.000, 0.000, 0.297), Se at (0.000, 0.000, 0.559) and Se at (0.241, 0.241, 0.246).

As for the total energy: -91.4 eV for the cell shown.



No. 8
DFT (PBE) results for a geometry-optimized AcTiSe structure.

It has space group I4/mmm (No. 139), with a = 4.029 Å, b = 4.029 Å, c = 19.570 Å, α = 90.00°, β = 90.00° and γ = 90.00°. The asymmetric unit holds Ac at (0.000, 0.000, 0.161), Ti at (0.000, 0.500, 0.000) and Se at (0.000, 0.000, 0.409).

As for the total energy: -72.7 eV for the cell shown.



Number 1: calculated volume 935 Å³ per cell. Number 2: calculated volume 783 Å³ per cell. Number 3: calculated volume 481 Å³ per cell. Number 4: calculated volume 211 Å³ per cell. Number 5: calculated volume 225 Å³ per cell. Number 6: calculated volume 1341 Å³ per cell. Number 7: calculated volume 456 Å³ per cell. Number 8: calculated volume 318 Å³ per cell.